VASP calculation (PBEsol) on a geometry-optimized CaLaCuIr structure.

ΔH_f (0 K): -0.37 eV per atom

a b c (Å): 4.0228 4.0909 5.8644
angles (deg): 90.00 110.06 90.00
Fractional positions:
La 0.1415 0.0000 0.2829
Cu 0.4347 0.0000 0.8695
Ca 0.8614 0.5000 0.7229
Ir 0.5771 0.5000 0.1542